Record 1
# La4GeAsBr2

La4GeAsBr2 after structural relaxation (PBE, the Alexandria database).

Calculated values
- M_tot: 0.000 μB per atom
- Electronic total energy: -5.43 eV per atom

abc: 4.390 7.598 7.728
angles: 109.13 90.00 90.00
Positions (direct):
La 0.500 0.239 0.219
La 0.500 0.761 0.781
La 0.000 0.260 0.782
La 0.000 0.740 0.218
Ge 0.000 0.000 0.000
As 0.500 0.500 0.000
Br 0.500 0.000 0.500
Br 0.000 0.500 0.500

=====

Record 2
# CeHBrCl

CeHBrCl after structural relaxation (PBE, the Alexandria database).

Calculated values
- M_tot: 0.250 μB per atom
- Electronic total energy: -4.78 eV per atom

abc: 4.003 4.003 7.536
angles: 90.07 105.33 120.00
Each line ends with the local moment (μB).
Positions (direct):
Ce 0.834 0.282 0.116  0.95
H 0.503 0.616 0.119  -0.01
Br 0.349 0.040 0.389  -0.01
Cl 0.006 0.867 0.872  -0.01

=====

Record 3
# DyIn3Rh4

DyIn3Rh4 after structural relaxation (PBE, the Alexandria database).

Calculated values
- M_tot: 0.000 μB per atom
- Formation enthalpy at 0 K: -4.9 eV/f.u.
- Electronic total energy: -5.89 eV per atom

abc: 4.548 6.800 9.095
angles: 90.00 90.00 90.00
Positions (direct):
In 0.000 0.000 0.000
In 0.000 0.000 0.500
In 0.500 0.000 0.750
In 0.500 0.000 0.250
In 0.500 0.500 0.750
In 0.500 0.500 0.250
Rh 0.500 0.761 0.000
Rh 0.500 0.761 0.500
Rh 0.500 0.239 0.000
Rh 0.500 0.239 0.500
Rh 0.000 0.761 0.750
Rh 0.000 0.761 0.250
Rh 0.000 0.239 0.250
Rh 0.000 0.239 0.750
Dy 0.000 0.500 0.000
Dy 0.000 0.500 0.500

=====

Record 4
# RbHoCuBr5

RbHoCuBr5 after structural relaxation (PBE, the Alexandria database).

Calculated values
- M_tot: 0.018 μB per atom
- Electronic total energy: -3.68 eV per atom

abc: 7.798 7.798 10.535
angles: 103.68 103.68 106.06
Each line ends with the local moment (μB).
Positions (direct):
Rb 0.351 0.649 0.250  0.00
Rb 0.649 0.351 0.750  0.00
Ho 0.000 0.000 0.500  0.00
Ho 0.000 0.000 0.000  0.00
Cu 0.690 0.310 0.250  0.12
Cu 0.310 0.690 0.750  0.12
Br 0.076 0.924 0.250  0.00
Br 0.924 0.076 0.750  0.00
Br 0.902 0.310 0.109  0.01
Br 0.098 0.690 0.891  0.01
Br 0.690 0.098 0.391  0.01
Br 0.310 0.902 0.609  0.01
Br 0.767 0.623 0.427  0.01
Br 0.233 0.377 0.573  0.01
Br 0.377 0.233 0.073  0.01
Br 0.623 0.767 0.927  0.01

=====

Record 5
# Pr2NdY2Tm

Pr2NdY2Tm after structural relaxation (PBE, the Alexandria database).

Calculated values
- M_tot: 0.000 μB per atom
- Formation enthalpy at 0 K: 0.6 eV/f.u.
- Electronic total energy: -5.19 eV per atom

abc: 3.595 6.166 18.514
angles: 90.00 90.00 90.00
Positions (direct):
Pr 0.500 0.836 0.154
Pr 0.000 0.336 0.346
Pr 0.500 0.164 0.846
Pr 0.000 0.664 0.654
Nd 0.500 0.500 0.000
Nd 0.000 0.000 0.500
Y 0.500 0.838 0.342
Y 0.500 0.162 0.658
Y 0.000 0.662 0.842
Y 0.000 0.338 0.158
Tm 0.000 0.000 0.000
Tm 0.500 0.500 0.500

=====

Record 6
# B2C

B2C after structural relaxation (PBE, the Alexandria database).

Calculated values
- M_tot: 0.000 μB per atom
- Formation enthalpy at 0 K: 1.2 eV/f.u.
- Electronic total energy: -7.12 eV per atom

abc: 4.396 4.396 9.174
angles: 57.24 57.24 33.73
Positions (direct):
B 0.371 0.371 0.339
B 0.549 0.549 0.395
B 0.664 0.664 0.164
B 0.834 0.834 0.223
B 0.960 0.960 0.998
B 0.151 0.151 0.032
B 0.438 0.438 0.884
B 0.683 0.683 0.644
C 0.319 0.319 0.803
C 0.825 0.825 0.707
C 0.024 0.024 0.516
C 0.182 0.182 0.546

=====

Record 7
# TaFe2AsSe

TaFe2AsSe after structural relaxation (PBE, the Alexandria database).

Calculated values
- M_tot: 0.675 μB per atom
- Electronic total energy: -6.62 eV per atom

abc: 4.308 4.880 4.308
angles: 90.00 90.00 90.00
Each line ends with the local moment (μB).
Positions (direct):
As 0.500 0.500 0.500  -0.01
Fe 0.000 0.000 0.500  1.88
Fe 0.500 0.000 0.000  2.21
Se 0.000 0.000 0.000  -0.04
Ta 0.000 0.500 0.000  -0.46

=====

Record 8
# SrAcP2Pd5

SrAcP2Pd5 after structural relaxation (PBE, the Alexandria database).

Calculated values
- M_tot: 0.000 μB per atom
- Formation enthalpy at 0 K: -7.0 eV/f.u.
- Electronic total energy: -5.51 eV per atom

abc: 4.589 4.589 8.645
angles: 90.00 90.00 90.00
Positions (direct):
Sr 0.000 0.000 0.500
Ac 0.000 0.000 0.000
P 0.500 0.500 0.199
P 0.500 0.500 0.801
Pd 0.000 0.500 0.265
Pd 0.500 0.000 0.265
Pd 0.000 0.500 0.735
Pd 0.500 0.000 0.735
Pd 0.500 0.500 0.500

=====

Record 9
# CaTa2Ni

CaTa2Ni after structural relaxation (PBE, the Alexandria database).

Calculated values
- M_tot: 0.000 μB per atom
- Formation enthalpy at 0 K: 2.2 eV/f.u.
- Electronic total energy: -7.31 eV per atom

abc: 5.675 5.675 5.675
angles: 139.72 139.72 58.28
Positions (direct):
Ni 0.750 0.250 0.500
Ca 0.250 0.750 0.500
Ta 0.000 0.000 0.000
Ta 0.500 0.500 0.000

=====

Record 10
# PrPaAl2

PrPaAl2 after structural relaxation (PBE, the Alexandria database).

Calculated values
- M_tot: 0.000 μB per atom
- Formation enthalpy at 0 K: 0.1 eV/f.u.
- Electronic total energy: -5.42 eV per atom

abc: 3.224 3.224 10.819
angles: 81.43 81.43 60.00
Positions (direct):
Pr 0.500 0.500 0.500
Pa 0.000 0.000 0.000
Al 0.747 0.747 0.758
Al 0.253 0.253 0.242

=====

Record 11
# AcNdGa2Ir2

AcNdGa2Ir2 after structural relaxation (PBE, the Alexandria database).

Calculated values
- M_tot: 0.000 μB per atom
- Formation enthalpy at 0 K: -4.3 eV/f.u.
- Electronic total energy: -6.16 eV per atom

abc: 4.408 4.408 8.131
angles: 90.00 90.00 120.00
Positions (direct):
Ac 0.000 0.000 0.000
Nd 0.000 0.000 0.500
Ga 0.667 0.333 0.730
Ga 0.333 0.667 0.270
Ir 0.667 0.333 0.266
Ir 0.333 0.667 0.734

=====

Record 12
# HfAgHg2

HfAgHg2 after structural relaxation (PBE, the Alexandria database).

Calculated values
- M_tot: 0.000 μB per atom
- Formation enthalpy at 0 K: 1.2 eV/f.u.
- Electronic total energy: -3.04 eV per atom

abc: 3.130 3.130 10.847
angles: 81.70 81.70 60.00
Positions (direct):
Hf 0.000 0.000 0.000
Hg 0.091 0.091 0.728
Hg 0.909 0.909 0.272
Ag 0.500 0.500 0.500

=====

Record 13
# Hg2SbIr

Hg2SbIr after structural relaxation (PBE, the Alexandria database).

Calculated values
- M_tot: 0.000 μB per atom
- Electronic total energy: -2.91 eV per atom

abc: 3.252 4.973 5.161
angles: 90.00 90.00 90.00
Positions (direct):
Hg 0.000 0.000 0.000
Hg 0.500 0.500 0.000
Ir 0.500 0.000 0.500
Sb 0.000 0.500 0.500

=====

Record 14
# Ti2NbMo6

Ti2NbMo6 after structural relaxation (PBE, the Alexandria database).

Calculated values
- M_tot: 0.000 μB per atom
- Formation enthalpy at 0 K: 2.5 eV/f.u.
- Electronic total energy: -9.82 eV per atom

abc: 6.961 5.163 5.163
angles: 63.15 70.46 70.46
Positions (direct):
Ti 0.900 0.670 0.670
Ti 0.100 0.330 0.330
Nb 0.000 0.000 0.000
Mo 0.295 0.318 0.799
Mo 0.467 0.752 0.752
Mo 0.295 0.799 0.318
Mo 0.705 0.682 0.201
Mo 0.533 0.248 0.248
Mo 0.705 0.201 0.682

=====

Record 15
# KCaOs2

KCaOs2 after structural relaxation (PBE, the Alexandria database).

Calculated values
- M_tot: 0.000 μB per atom
- Formation enthalpy at 0 K: 4.2 eV/f.u.
- Electronic total energy: -5.35 eV per atom

abc: 2.799 2.799 10.637
angles: 90.00 90.00 114.65
Positions (direct):
Ca 0.500 0.500 0.250
K 0.500 0.500 0.750
Os 0.000 0.000 0.020
Os 0.000 0.000 0.480

=====

Record 16
# NdH8Ir2Pd

NdH8Ir2Pd after structural relaxation (PBE, the Alexandria database).

Calculated values
- M_tot: 0.000 μB per atom
- Electronic total energy: -4.70 eV per atom

abc: 4.835 4.835 6.127
angles: 66.76 66.76 60.00
Positions (direct):
Nd 0.500 0.500 0.500
H 0.185 0.185 0.444
H 0.618 0.309 0.156
H 0.815 0.815 0.556
H 0.917 0.618 0.156
H 0.083 0.382 0.844
H 0.309 0.917 0.156
H 0.691 0.083 0.844
H 0.382 0.691 0.844
Ir 0.286 0.286 0.142
Ir 0.714 0.714 0.858
Pd 0.000 0.000 0.000

=====

Record 17
# Al2TlBr6

Al2TlBr6 after structural relaxation (PBE, the Alexandria database).

Calculated values
- M_tot: 0.046 μB per atom
- Electronic total energy: -3.09 eV per atom

abc: 8.354 10.172 10.172
angles: 82.90 72.65 72.65
Each line ends with the local moment (μB).
Positions (direct):
Al 0.290 0.634 0.795  0.05
Al 0.210 0.205 0.366  0.05
Al 0.710 0.366 0.205  0.05
Al 0.790 0.795 0.634  0.05
Tl 0.250 0.142 0.858  0.00
Tl 0.750 0.858 0.142  0.00
Br 0.584 0.653 0.651  0.02
Br 0.916 0.349 0.347  0.02
Br 0.416 0.347 0.349  0.02
Br 0.084 0.651 0.653  0.02
Br 0.813 0.934 0.431  0.02
Br 0.687 0.569 0.066  0.02
Br 0.187 0.066 0.569  0.02
Br 0.313 0.431 0.934  0.02
Br 0.171 0.821 0.944  0.01
Br 0.329 0.056 0.179  0.01
Br 0.829 0.179 0.056  0.01
Br 0.671 0.944 0.821  0.01

=====

Record 18
# Pm3Si2Sn2Pt4

Pm3Si2Sn2Pt4 after structural relaxation (PBE, the Alexandria database).

Calculated values
- M_tot: 0.000 μB per atom
- Electronic total energy: -6.18 eV per atom

abc: 4.487 4.487 13.666
angles: 90.00 90.00 120.00
Positions (direct):
Pm 0.000 0.000 0.736
Pm 0.000 0.000 0.000
Pm 0.000 0.000 0.264
Si 0.667 0.333 0.848
Si 0.333 0.667 0.152
Sn 0.667 0.333 0.435
Sn 0.333 0.667 0.565
Pt 0.667 0.333 0.130
Pt 0.333 0.667 0.870
Pt 0.667 0.333 0.637
Pt 0.333 0.667 0.363

=====

Record 19
# Pu2BrO

Pu2BrO after structural relaxation (PBE, the Alexandria database).

Calculated values
- M_tot: 3.224 μB per atom
- Electronic total energy: -10.00 eV per atom

abc: 3.251 3.251 7.510
angles: 90.00 90.00 90.00
Each line ends with the local moment (μB).
Positions (direct):
O 0.500 0.500 0.000  -0.06
Br 0.500 0.500 0.500  -0.02
Pu 0.000 0.000 0.797  6.08
Pu 0.000 0.000 0.203  6.08

=====

Record 20
# AlFe2Sb

AlFe2Sb after structural relaxation (PBE, the Alexandria database).

Calculated values
- M_tot: 1.125 μB per atom
- Electronic total energy: -5.85 eV per atom

abc: 3.937 3.937 9.203
angles: 77.65 77.65 90.00
Each line ends with the local moment (μB).
Positions (direct):
Sb 0.000 0.000 0.000  -0.04
Sb 0.750 0.250 0.500  -0.04
Fe 0.579 0.125 0.250  2.34
Fe 0.171 0.625 0.250  2.34
Fe 0.375 0.421 0.750  2.32
Fe 0.875 0.829 0.750  2.32
Al 0.500 0.500 0.000  -0.04
Al 0.250 0.750 0.500  -0.04

=====

Record 21
# AgPt3

AgPt3 after structural relaxation (PBE, the Alexandria database).

Calculated values
- M_tot: 0.000 μB per atom
- Formation enthalpy at 0 K: 0.1 eV/f.u.
- Electronic total energy: -5.23 eV per atom

abc: 2.785 2.785 9.580
angles: 90.00 90.00 120.00
Positions (direct):
Ag 0.667 0.333 0.500
Pt 0.333 0.667 0.000
Pt 0.000 0.000 0.753
Pt 0.000 0.000 0.247

=====

Record 22
# Pm8SmTl6

Pm8SmTl6 after structural relaxation (PBE, the Alexandria database).

Calculated values
- M_tot: 0.000 μB per atom
- Formation enthalpy at 0 K: -2.4 eV/f.u.
- Electronic total energy: -3.96 eV per atom

abc: 9.314 9.314 8.525
angles: 56.89 56.89 60.00
Positions (direct):
Pm 0.554 0.222 0.335
Pm 0.778 0.111 0.665
Pm 0.111 0.446 0.665
Pm 0.666 0.666 0.001
Pm 0.334 0.334 0.999
Pm 0.889 0.554 0.335
Pm 0.222 0.889 0.335
Pm 0.446 0.778 0.665
Sm 0.000 0.000 0.000
Tl 0.391 0.059 0.822
Tl 0.941 0.273 0.178
Tl 0.273 0.609 0.178
Tl 0.727 0.391 0.822
Tl 0.059 0.727 0.822
Tl 0.609 0.941 0.178

=====

Record 23
# In2NiPt6

In2NiPt6 after structural relaxation (PBE, the Alexandria database).

Calculated values
- M_tot: 0.059 μB per atom
- Formation enthalpy at 0 K: -1.5 eV/f.u.
- Electronic total energy: -5.45 eV per atom

abc: 4.650 7.629 6.186
angles: 128.07 112.07 90.00
Each line ends with the local moment (μB).
Positions (direct):
In 0.681 0.681 0.362  -0.01
In 0.319 0.319 0.638  -0.01
Ni 0.000 0.000 0.000  0.34
Pt 0.158 0.461 0.316  0.04
Pt 0.842 0.145 0.684  0.04
Pt 0.842 0.539 0.684  0.04
Pt 0.500 0.184 0.000  0.04
Pt 0.158 0.855 0.316  0.04
Pt 0.500 0.816 0.000  0.04

=====

Record 24
# NiTe4Rh

NiTe4Rh after structural relaxation (PBE, the Alexandria database).

Calculated values
- M_tot: 0.231 μB per atom
- Electronic total energy: -3.09 eV per atom

abc: 6.104 6.104 6.104
angles: 60.00 60.00 60.00
Each line ends with the local moment (μB).
Positions (direct):
Ni 0.750 0.750 0.750  0.74
Te 0.875 0.375 0.375  0.04
Te 0.375 0.375 0.875  0.04
Te 0.375 0.875 0.375  0.04
Te 0.375 0.375 0.375  0.04
Rh 0.000 0.000 0.000  0.39